# 1
ErPuZnFe, optimized geometry, DFT PBE-GGA; ΔH_f (0 K) = 0.0032 eV/atom; crystal system = cubic; E_tot = -0.526 Ry/atom
1.0
-1.2513 -4.4512 -1.5423
1.3755 -1.5235 -4.4209
3.3932 -3.4720 -0.4347
Zn Er Fe Pu
1 1 1 1
Cartesian
0.8793 -2.3617 -1.5995
0.0000 0.0000 0.0000
2.6380 -7.0850 -4.7984
1.7587 -4.7233 -3.1990

***

# 2
ErFe10Re2, optimized geometry, DFT PBE-GGA; ΔH_f (0 K) = -0.0425 eV/atom; crystal system = orthorhombic; E_tot = -0.648 Ry/atom
1.0
1.7520 -0.7252 6.1781
3.5736 5.2536 -1.1799
-6.2666 -1.4568 0.6093
Er Fe Re
1 10 2
Cartesian
0.0000 0.0000 0.0000
1.3847 1.6465 4.4206
-2.3257 1.4251 1.1869
-0.8150 0.1354 4.7472
-0.1259 2.9363 0.8602
1.7868 2.6268 -0.5900
-3.1333 -0.7284 0.3047
0.8760 -0.3626 3.0890
-0.4705 1.5358 2.8037
-1.6146 -0.7804 2.4274
-2.9000 -1.4016 4.3599
1.9043 1.6193 1.7872
3.4213 2.9092 3.2109

***

# 3
Er2FeRe3, optimized geometry, DFT PBE-GGA; ΔH_f (0 K) = -0.2065 eV/atom; crystal system = trigonal; E_tot = -0.688 Ry/atom
1.0
-2.3931 -4.3859 1.7315
1.9630 0.1764 -4.9068
4.8466 1.3288 1.9890
Er Fe Re
2 1 3
Cartesian
-0.4481 -3.0588 -0.2912
4.8645 0.1781 -0.8951
0.0000 0.0000 0.0000
2.2082 -1.4404 -0.5931
2.4233 0.6644 0.9945
1.2267 -1.5286 1.8603